(1)
Material: BSbTe2Pd
Method: DFT, PBE-GGA
State: optimized geometry

Cell lengths 5.405, 5.405, 5.059 Å; angles 90.00, 90.00, 90.00 degrees
Space group P4/mmm (No. 123)
Unique sites:
B: 0.000 0.000 0.000 [1 per cell]
Sb: 0.500 0.500 0.000 [1 per cell]
Te: 0.000 0.500 0.500 [2 per cell]
Pd: 0.500 0.500 0.500 [1 per cell]

Volume, Å³ per atom: 29.56
Energy relative to the lowest polymorph listed for this composition, meV per atom: 434
Calculated total energy, eV per cell: -16.3
ΔE_f (raw), eV/atom: 1.19
N(E_F), states/eV per atom: 0.838
M_tot, μB/atom: 0.000



(2)
Material: Zn5Ag6Au
Method: DFT, PBE-GGA
State: optimized geometry

Cell lengths 4.117, 7.737, 12.446 Å; angles 90.00, 90.00, 90.00 degrees
Space group Immm (No. 71)
Unique sites:
Zn: 0.000 0.000 0.000 [2 per cell]
Zn: 0.000 0.000 0.343 [4 per cell]
Zn: 0.000 0.500 0.325 [4 per cell]
Ag: 0.000 0.239 0.169 [8 per cell]
Ag: 0.000 0.268 0.500 [4 per cell]
Au: 0.000 0.500 0.000 [2 per cell]

Volume, Å³ per atom: 16.52
Energy relative to the lowest polymorph listed for this composition, meV per atom: 0
Calculated total energy, eV per cell: -54.7
Energy relative to the elements, kJ/mol of formula units: -58
N(E_F), states/eV per atom: 0.184
M_tot, μB/atom: 0.000



(3)
Material: BaInMo
Method: DFT, PBE-GGA
State: optimized geometry

Cell lengths 7.326, 7.326, 7.326 Å; angles 90.00, 90.00, 90.00 degrees
Space group F-43m (No. 216)
Unique sites:
Ba: 0.000 0.000 0.000 [4 per cell]
In: 0.000 0.000 0.500 [4 per cell]
Mo: 0.250 0.250 0.250 [4 per cell]

Volume, Å³ per atom: 32.76
Energy relative to the lowest polymorph listed for this composition, meV per atom: 281
Calculated total energy, eV per cell: -51.2
Energy relative to the elements, kJ/mol of formula units: 260
N(E_F), states/eV per atom: 0.364
M_tot, μB/atom: 0.994



(4)
Material: La2BeGaPt6
Method: DFT, PBE-GGA
State: optimized geometry

Cell lengths 10.110, 5.835, 7.344 Å; angles 90.00, 117.39, 90.00 degrees
Space group C2/m (No. 12)
Unique sites:
La: 0.220 0.000 0.160 [4 per cell]
Be: 0.000 0.000 0.500 [2 per cell]
Ga: 0.000 0.500 0.000 [2 per cell]
Pt: 0.020 0.260 0.301 [8 per cell]
Pt: 0.240 0.000 0.698 [4 per cell]

Volume, Å³ per atom: 19.23
Calculated total energy, eV per cell: -123.6
Energy relative to the elements, kJ/mol of formula units: -862
N(E_F), states/eV per atom: 0.318
M_tot, μB/atom: 0.000



(5)
Material: Sr2Li3Zn12Rh
Method: DFT, PBE-GGA
State: optimized geometry

Cell lengths 8.4149, 8.4149, 22.0753 Å; angles 90.00, 90.00, 120.00 degrees
Space group R-3m (No. 166, hexagonal axes)
Unique sites:
Sr: 0.0000 0.0000 0.1009 [6 per cell]
Li: 0.0000 0.5000 0.0000 [9 per cell]
Zn: 0.0288 0.5144 0.1248 [18 per cell]
Zn: 0.1059 0.2118 0.7463 [18 per cell]
Rh: 0.0000 0.0000 0.5000 [3 per cell]

Volume, Å³ per atom: 25.07
Calculated total energy, eV per cell: -91.5
Energy relative to the elements, kJ/mol of formula units: 121
N(E_F), states/eV per atom: 0.382
M_tot, μB/atom: 0.000



(6)
Material: Ac2TbBiO6
Method: DFT, PBE-GGA
State: optimized geometry

Cell lengths 5.732, 5.732, 5.749 Å; angles 90.00, 90.00, 90.00 degrees
Space group P4mm (No. 99)
Unique sites:
Ac: 0.000 0.500 0.000 [2 per cell]
Tb: 0.000 0.000 0.578 [1 per cell]
Bi: 0.500 0.500 0.570 [1 per cell]
O: 0.000 0.000 0.198 [1 per cell]
O: 0.246 0.246 0.747 [4 per cell]
O: 0.500 0.500 0.167 [1 per cell]

Volume, Å³ per atom: 18.89
Calculated total energy, eV per cell: -73.6
ΔE_f (raw), eV/atom: -2.71
N(E_F), states/eV per atom: 0.000
M_tot, μB/atom: 0.000



(7)
Material: Nd4ScTe7
Method: DFT, PBE-GGA
State: optimized geometry

Cell lengths 14.484, 4.318, 13.309 Å; angles 90.00, 104.77, 90.00 degrees
Space group Cm (No. 8)
Unique sites:
Nd: 0.000 0.000 0.000 [2 per cell]
Nd: 0.084 0.500 0.368 [2 per cell]
Nd: 0.187 0.000 0.761 [2 per cell]
Nd: 0.385 0.500 0.562 [2 per cell]
Sc: 0.273 0.500 0.142 [2 per cell]
Te: 0.048 0.500 0.615 [2 per cell]
Te: 0.134 0.500 0.928 [2 per cell]
Te: 0.160 0.000 0.216 [2 per cell]
Te: 0.221 0.000 0.516 [2 per cell]
Te: 0.352 0.500 0.784 [2 per cell]
Te: 0.379 0.000 0.077 [2 per cell]
Te: 0.417 0.500 0.340 [2 per cell]

Volume, Å³ per atom: 33.54
Calculated total energy, eV per cell: -128.1
ΔE_f (raw), eV/atom: -1.39
N(E_F), states/eV per atom: 0.198
M_tot, μB/atom: 0.000



(8)
Material: Ac4Nd3
Method: DFT, PBE-GGA
State: optimized geometry

Cell lengths 12.254, 5.501, 8.542 Å; angles 90.00, 97.73, 90.00 degrees
Space group C2/m (No. 12)
Unique sites:
Ac: 0.069 0.000 0.226 [4 per cell]
Ac: 0.144 0.500 0.924 [4 per cell]
Nd: 0.000 0.500 0.500 [2 per cell]
Nd: 0.219 0.000 0.638 [4 per cell]

Volume, Å³ per atom: 40.75
Energy relative to the lowest polymorph listed for this composition, meV per atom: 0
Calculated total energy, eV per cell: -61.0
Energy relative to the elements, kJ/mol of formula units: 24
N(E_F), states/eV per atom: 1.934
M_tot, μB/atom: 0.000



(9)
Material: Mg2Co
Method: DFT, PBE-GGA
State: optimized geometry

Cell lengths 7.7629, 7.7629, 2.8356 Å; angles 90.00, 90.00, 120.00 degrees
Space group P-62m (No. 189)
Unique sites:
Mg: 0.0000 0.2910 0.0000 [3 per cell]
Mg: 0.0000 0.6248 0.5000 [3 per cell]
Co: 0.0000 0.0000 0.5000 [1 per cell]
Co: 0.3333 0.6667 0.0000 [2 per cell]

Volume, Å³ per atom: 16.44
Calculated total energy, eV per cell: -29.5
Energy relative to the elements, kJ/mol of formula units: 46
N(E_F), states/eV per atom: 0.585
M_tot, μB/atom: 0.320



(10)
Material: ZrTl2Fe
Method: DFT, PBE-GGA
State: optimized geometry

Cell lengths 3.2119, 3.2119, 28.6898 Å; angles 90.00, 90.00, 120.00 degrees
Space group R-3m (No. 166, hexagonal axes)
Unique sites:
Zr: 0.0000 0.0000 0.0000 [3 per cell]
Tl: 0.0000 0.0000 0.2431 [6 per cell]
Fe: 0.0000 0.0000 0.5000 [3 per cell]

Volume, Å³ per atom: 21.36
Energy relative to the lowest polymorph listed for this composition, meV per atom: 186
Calculated total energy, eV per cell: -60.7
Energy relative to the elements, kJ/mol of formula units: 146
N(E_F), states/eV per atom: 0.903
M_tot, μB/atom: 0.709



(11)
Material: Si2SnRhO
Method: DFT, PBE-GGA
State: optimized geometry

Cell lengths 2.879, 3.187, 8.729 Å; angles 90.00, 90.00, 90.00 degrees
Space group Pmm2 (No. 25)
Unique sites:
Si: 0.000 0.000 0.000 [1 per cell]
Si: 0.000 0.500 0.323 [1 per cell]
Sn: 0.000 0.000 0.624 [1 per cell]
Rh: 0.500 0.500 0.876 [1 per cell]
O: 0.000 0.000 0.198 [1 per cell]

Volume, Å³ per atom: 16.02
Energy relative to the lowest polymorph listed for this composition, meV per atom: 81
Calculated total energy, eV per cell: -30.7
ΔE_f (raw), eV/atom: -0.71
N(E_F), states/eV per atom: 0.240
M_tot, μB/atom: 0.000



(12)
Material: Ac5PrZn4
Method: DFT, PBE-GGA
State: optimized geometry

Cell lengths 3.913, 3.913, 20.988 Å; angles 90.00, 90.00, 90.00 degrees
Space group P4/mmm (No. 123)
Unique sites:
Ac: 0.000 0.000 0.000 [1 per cell]
Ac: 0.000 0.000 0.186 [2 per cell]
Ac: 0.000 0.000 0.371 [2 per cell]
Pr: 0.500 0.500 0.500 [1 per cell]
Zn: 0.500 0.500 0.093 [2 per cell]
Zn: 0.500 0.500 0.280 [2 per cell]

Volume, Å³ per atom: 32.13
Calculated total energy, eV per cell: -32.3
Energy relative to the elements, kJ/mol of formula units: -186
N(E_F), states/eV per atom: 1.073
M_tot, μB/atom: 0.000



(13)
Material: Cs2PbSBr6
Method: DFT, PBE-GGA
State: optimized geometry

Cell lengths 7.748, 7.748, 13.436 Å; angles 90.00, 90.00, 90.00 degrees
Space group I4/mmm (No. 139)
Unique sites:
Cs: 0.000 0.500 0.250 [4 per cell]
Pb: 0.000 0.000 0.000 [2 per cell]
S: 0.000 0.000 0.500 [2 per cell]
Br: 0.000 0.000 0.219 [4 per cell]
Br: 0.228 0.228 0.500 [8 per cell]

Volume, Å³ per atom: 40.33
Calculated total energy, eV per cell: -57.5
ΔE_f (raw), eV/atom: -0.92
N(E_F), states/eV per atom: 0.000
M_tot, μB/atom: 0.000



(14)
Material: Sc2AgPb
Method: DFT, PBE-GGA
State: optimized geometry

Cell lengths 3.422, 3.422, 8.055 Å; angles 90.00, 90.00, 90.00 degrees
Space group P4mm (No. 99)
Unique sites:
Sc: 0.000 0.000 0.000 [1 per cell]
Sc: 0.500 0.500 0.267 [1 per cell]
Ag: 0.000 0.000 0.472 [1 per cell]
Pb: 0.500 0.500 0.723 [1 per cell]

Volume, Å³ per atom: 23.59
Calculated total energy, eV per cell: -19.7
Energy relative to the elements, kJ/mol of formula units: -47
N(E_F), states/eV per atom: 0.975
M_tot, μB/atom: 0.248



(15)
Material: YEr4Cu5
Method: DFT, PBE-GGA
State: optimized geometry

Cell lengths 3.426, 3.426, 17.397 Å; angles 90.00, 90.00, 90.00 degrees
Space group P4/mmm (No. 123)
Unique sites:
Y: 0.000 0.000 0.000 [1 per cell]
Er: 0.000 0.000 0.202 [2 per cell]
Er: 0.000 0.000 0.400 [2 per cell]
Cu: 0.500 0.500 0.104 [2 per cell]
Cu: 0.500 0.500 0.301 [2 per cell]
Cu: 0.500 0.500 0.500 [1 per cell]

Volume, Å³ per atom: 20.42
Calculated total energy, eV per cell: -47.9
Energy relative to the elements, kJ/mol of formula units: -265
N(E_F), states/eV per atom: 0.407
M_tot, μB/atom: 0.000



(16)
Material: MgBeRh2
Method: DFT, PBE-GGA
State: optimized geometry

Cell lengths 3.041, 3.892, 4.554 Å; angles 90.00, 90.00, 90.00 degrees
Space group Pmmm (No. 47)
Unique sites:
Mg: 0.000 0.000 0.000 [1 per cell]
Be: 0.500 0.000 0.500 [1 per cell]
Rh: 0.000 0.500 0.500 [1 per cell]
Rh: 0.500 0.500 0.000 [1 per cell]

Volume, Å³ per atom: 13.47
Energy relative to the lowest polymorph listed for this composition, meV per atom: 268
Calculated total energy, eV per cell: -20.9
Energy relative to the elements, kJ/mol of formula units: -85
N(E_F), states/eV per atom: 0.700
M_tot, μB/atom: 0.000



(17)
Material: BaY2CuO5
Method: DFT, PBE-GGA
State: optimized geometry

Cell lengths 6.563, 6.563, 11.627 Å; angles 90.00, 90.00, 90.00 degrees
Space group I4/mcm (No. 140)
Unique sites:
Ba: 0.000 0.000 0.250 [4 per cell]
Y: 0.173 0.327 0.000 [8 per cell]
Cu: 0.000 0.500 0.250 [4 per cell]
O: 0.000 0.000 0.000 [4 per cell]
O: 0.141 0.359 0.376 [16 per cell]

Volume, Å³ per atom: 13.91
Energy relative to the lowest polymorph listed for this composition, meV per atom: 71
Calculated total energy, eV per cell: -268.4
ΔE_f (raw), eV/atom: -2.59
N(E_F), states/eV per atom: 0.641
M_tot, μB/atom: 0.113



(18)
Material: TiV
Method: DFT, PBE-GGA
State: optimized geometry

Cell lengths 4.6836, 4.6836, 9.6184 Å; angles 90.00, 90.00, 120.00 degrees
Space group R-3m (No. 166, hexagonal axes)
Unique sites:
Ti: 0.0000 0.0000 0.1342 [6 per cell]
V: 0.0000 0.0000 0.3858 [6 per cell]

Volume, Å³ per atom: 15.23
Calculated total energy, eV per cell: -101.1
Energy relative to the elements, kJ/mol of formula units: 16
N(E_F), states/eV per atom: 1.474
M_tot, μB/atom: 0.000



(19)
Material: Pm4Ga16Ir3
Method: DFT, PBE-GGA
State: optimized geometry

Cell lengths 6.212, 6.212, 11.354 Å; angles 90.00, 90.00, 90.00 degrees
Space group P4/mmm (No. 123)
Unique sites:
Pm: 0.000 0.500 0.195 [4 per cell]
Ga: 0.000 0.000 0.196 [2 per cell]
Ga: 0.212 0.212 0.000 [4 per cell]
Ga: 0.252 0.252 0.382 [8 per cell]
Ga: 0.500 0.500 0.224 [2 per cell]
Ir: 0.000 0.500 0.500 [2 per cell]
Ir: 0.500 0.500 0.000 [1 per cell]

Volume, Å³ per atom: 19.05
Calculated total energy, eV per cell: -108.4
Energy relative to the elements, kJ/mol of formula units: -1386
N(E_F), states/eV per atom: 0.261
M_tot, μB/atom: 0.000



(20)
Material: Pm2NdTl4
Method: DFT, PBE-GGA
State: optimized geometry

Cell lengths 4.9146, 4.9146, 31.6859 Å; angles 90.00, 90.00, 120.00 degrees
Space group R-3m (No. 166, hexagonal axes)
Unique sites:
Pm: 0.0000 0.0000 0.1291 [6 per cell]
Nd: 0.0000 0.0000 0.0000 [3 per cell]
Tl: 0.0000 0.0000 0.2454 [6 per cell]
Tl: 0.0000 0.0000 0.3839 [6 per cell]

Volume, Å³ per atom: 31.56
Energy relative to the lowest polymorph listed for this composition, meV per atom: 83
Calculated total energy, eV per cell: -74.4
Energy relative to the elements, kJ/mol of formula units: -104
N(E_F), states/eV per atom: 0.768
M_tot, μB/atom: 0.018